# La3TcS | Alexandria via LeMat-Bulk | SCAN | single point on PBEsol structure
data_La3TcS
_chemical_formula_sum 'La3 Tc1 S1'
_cell_length_a 5.3290
_cell_length_b 5.3290
_cell_length_c 5.3290
_cell_angle_alpha 90.00
_cell_angle_beta 90.00
_cell_angle_gamma 90.00
_space_group_name_H-M_alt 'P m -3 m'
_space_group_IT_number 221
_space_group_name_Hall '-P 4 2 3'
loop_
_atom_site_label
_atom_site_type_symbol
_atom_site_fract_x
_atom_site_fract_y
_atom_site_fract_z
La1 La 0.0000 0.0000 0.5000
Tc1 Tc 0.0000 0.0000 0.0000
S1 S 0.5000 0.5000 0.5000
# Formation energy from raw total energies   -1.84 eV/f.u.
# Energy relative to the lowest polymorph listed for this composition   0.000 eV per atom
# M_tot   0.000 μB per atom